# MnP3 PBE relaxed
# **Final energy**: -6.358 eV per atom
# **Formation energy**: -0.01 eV per atom
# **Magnetization**: 0.00 μB per cell
data_MnP3
_chemical_formula_sum 'Mn2 P6'
_cell_length_a 7.237
_cell_length_b 2.828
_cell_length_c 6.818
_cell_angle_alpha 90.00
_cell_angle_beta 120.26
_cell_angle_gamma 90.00
_symmetry_space_group_name_H-M 'C 1 m 1'
_symmetry_Int_Tables_number 8
loop_
_symmetry_equiv_pos_as_xyz
'x,y,z'
'x,-y,z'
'x+1/2,y+1/2,z'
'x+1/2,-y+1/2,z'
loop_
_atom_site_label
_atom_site_fract_x
_atom_site_fract_y
_atom_site_fract_z
Mn1 0.000 0.000 0.000
P1 0.103 0.500 0.802
P2 0.290 0.000 0.405
P3 0.362 0.000 0.142



# LiTc4Ir PBE relaxed
# **Final energy**: -8.337 eV per atom
# **Formation energy**: 0.37 eV per atom
# **Magnetization**: 0.00 μB per cell
data_LiTc4Ir
_chemical_formula_sum 'Li4 Tc16 Ir4'
_cell_length_a 7.168
_cell_length_b 7.168
_cell_length_c 7.168
_cell_angle_alpha 90.00
_cell_angle_beta 90.00
_cell_angle_gamma 90.00
_symmetry_space_group_name_H-M 'F -4 3 m'
_symmetry_Int_Tables_number 216
_symmetry_space_group_name_Hall 'F -4 2 3'
loop_
_atom_site_label
_atom_site_fract_x
_atom_site_fract_y
_atom_site_fract_z
Li1 0.000 0.000 0.000
Tc1 0.126 0.126 0.626
Ir1 0.250 0.250 0.250



formation energy of number 1 (MnP3)? -0.01 eV per atom